(1)
Density functional theory data (PBE) for an optimized crystal structure of KSi3Tc.

Its total energy is -26.5 eV per cell. Its size of the total moment is 0.000 μB per atom. The value obtained for the distance to the lowest polymorph of the same formula is 0.0 meV per atom. As for the raw formation energy: 0.245 eV per atom. The density of states at the Fermi level comes out at 3.951 states/eV/f.u.

The structure belongs to space group Pm-3m (No. 221); the cell edges are 4.746, 4.746 and 4.746 Å and the angles 90.00°, 90.00° and 90.00°. The asymmetric unit holds K at (0.000, 0.000, 0.000), Si at (0.000, 0.500, 0.500) and Tc at (0.500, 0.500, 0.500).

=====

(2)
Density functional theory data (PBE) for an optimized crystal structure of LiIn3Tc.

The formation enthalpy at 0 K is 0.183 eV/atom. Its total energy is -19.6 eV per cell. Its size of the total moment is 0.000 μB per atom. The value obtained for the distance to the lowest polymorph of the same formula is 0.0 meV per atom. The density of states at the Fermi level comes out at 2.343 states/eV/f.u.

The structure belongs to space group Pm-3m (No. 221); the cell edges are 5.203, 5.203 and 5.203 Å and the angles 90.00°, 90.00° and 90.00°. The asymmetric unit holds Li at (0.000, 0.000, 0.000), In at (0.000, 0.500, 0.500) and Tc at (0.500, 0.500, 0.500).